Compound: HoThTlGa
Source: Alexandria via LeMat-Bulk
Functional: PBE
Structure: optimized geometry

The structure in CIF format:
```
data_HoThTlGa
_cell_length_a 5.3110
_cell_length_b 5.3110
_cell_length_c 5.3110
_cell_angle_alpha 60.00
_cell_angle_beta 60.00
_cell_angle_gamma 60.00
_symmetry_space_group_name_H-M 'P 1'
_symmetry_Int_Tables_number 1
loop_
_symmetry_equiv_pos_as_xyz
'x,y,z'
loop_
_atom_site_label
_atom_site_fract_x
_atom_site_fract_y
_atom_site_fract_z
Ho1 0.0000 0.0000 0.0000
Ga1 0.2500 0.2500 0.2500
Tl1 0.7500 0.7500 0.7500
Th1 0.5000 0.5000 0.5000
```

Output
**VASP energy**: -4.63 eV per atom
**E_form**: -0.2870 eV/atom
**Total magnetization**: 0.0000 μB per atom

Compound: HoThZn2Ga2
Source: Alexandria via LeMat-Bulk
Functional: PBE
Structure: optimized geometry

The structure in CIF format:
```
data_HoThZn2Ga2
_cell_length_a 4.4135
_cell_length_b 4.4135
_cell_length_c 7.4695
_cell_angle_alpha 90.00
_cell_angle_beta 90.00
_cell_angle_gamma 120.00
_symmetry_space_group_name_H-M 'P 1'
_symmetry_Int_Tables_number 1
loop_
_symmetry_equiv_pos_as_xyz
'x,y,z'
loop_
_atom_site_label
_atom_site_fract_x
_atom_site_fract_y
_atom_site_fract_z
Zn1 0.3333 0.6667 0.2693
Zn2 0.6667 0.3333 0.7307
Ga1 0.3333 0.6667 0.7360
Ga2 0.6667 0.3333 0.2640
Ho1 0.0000 0.0000 0.5000
Th1 0.0000 0.0000 0.0000
```

Output
**VASP energy**: -3.95 eV per atom
**E_form**: -0.5204 eV/atom
**Total magnetization**: 0.0000 μB per atom

Compound: Ho2ThZn2Ga2
Source: Alexandria via LeMat-Bulk
Functional: PBE
Structure: optimized geometry

The structure in CIF format:
```
data_Ho2ThZn2Ga2
_cell_length_a 4.3980
_cell_length_b 4.3980
_cell_length_c 9.8988
_cell_angle_alpha 77.16
_cell_angle_beta 77.16
_cell_angle_gamma 60.00
_symmetry_space_group_name_H-M 'P 1'
_symmetry_Int_Tables_number 1
loop_
_symmetry_equiv_pos_as_xyz
'x,y,z'
loop_
_atom_site_label
_atom_site_fract_x
_atom_site_fract_y
_atom_site_fract_z
Ga1 0.2582 0.2582 0.2255
Ga2 0.7418 0.7418 0.7745
Zn1 0.5999 0.5999 0.2002
Zn2 0.4001 0.4001 0.7998
Ho1 0.8719 0.8719 0.3843
Ho2 0.1281 0.1281 0.6157
Th1 0.0000 0.0000 0.0000
```

Output
**VASP energy**: -3.96 eV per atom
**E_form**: -0.3606 eV/atom
**Total magnetization**: 0.0000 μB per atom

Compound: HoTiGa6
Source: Alexandria via LeMat-Bulk
Functional: PBE
Structure: optimized geometry

The structure in CIF format:
```
data_HoTiGa6
_cell_length_a 4.1445
_cell_length_b 4.1445
_cell_length_c 8.2104
_cell_angle_alpha 90.00
_cell_angle_beta 90.00
_cell_angle_gamma 90.00
_symmetry_space_group_name_H-M 'P 1'
_symmetry_Int_Tables_number 1
loop_
_symmetry_equiv_pos_as_xyz
'x,y,z'
loop_
_atom_site_label
_atom_site_fract_x
_atom_site_fract_y
_atom_site_fract_z
Ga1 0.5000 0.0000 0.2652
Ga2 0.5000 0.5000 0.0000
Ga3 0.5000 0.0000 0.7348
Ga4 0.0000 0.5000 0.2652
Ga5 0.5000 0.5000 0.5000
Ga6 0.0000 0.5000 0.7348
Ho1 0.0000 0.0000 0.0000
Ti1 0.0000 0.0000 0.5000
```

Output
**VASP energy**: -4.25 eV per atom
**E_form**: -0.4170 eV/atom
**Total magnetization**: 0.0000 μB per atom

Volume (Å³ per atom)
26.48 21.00 22.90 17.63